No. 1
PrIn3Cu | PBE | relaxed

a b c (Å): 4.5453 4.5453 11.6733
angles (deg): 90.00 90.00 90.00
Sites, in units of the cell vectors:
Pr (0.0000, 0.0000, 0.0000)
Pr (0.5000, 0.5000, 0.5000)
In (0.0000, 0.0000, 0.4072)
In (0.0000, 0.5000, 0.2380)
In (0.0000, 0.5000, 0.7380)
In (0.5000, 0.0000, 0.2380)
In (0.5000, 0.0000, 0.7380)
In (0.5000, 0.5000, 0.9072)
Cu (0.0000, 0.0000, 0.6224)
Cu (0.5000, 0.5000, 0.1224)

Output
size of the total moment: 0.00 μB per cell
distance to the lowest polymorph of the same formula: 0 meV per atom
volume: 24.12 A^3/atom
mass density: 7.6 Mg/m³
formation energy from the elements: -0.322 eV/atom
crystal system: tetragonal


No. 2
Pr4In5Cu19 | PBE | relaxed

a b c (Å): 8.5123 5.1290 10.7584
angles (deg): 90.00 90.08 90.00
Sites, in units of the cell vectors:
Pr (0.0000, 0.0000, 0.0000)
Pr (0.0103, 0.5000, 0.5095)
Pr (0.4965, 0.0000, 0.3995)
Pr (0.5078, 0.5000, 0.8763)
In (0.1172, 0.0000, 0.3069)
In (0.3928, 0.5000, 0.5815)
In (0.5644, 0.5000, 0.2045)
In (0.6160, 0.0000, 0.0745)
In (0.8935, 0.5000, 0.8066)
Cu (0.0677, 0.5000, 0.1850)
Cu (0.1715, 0.5000, 0.9576)
Cu (0.1866, 0.2501, 0.7560)
Cu (0.1866, 0.7499, 0.7560)
Cu (0.1937, 0.0000, 0.5536)
Cu (0.2957, 0.5000, 0.3404)
Cu (0.3093, 0.2441, 0.1293)
Cu (0.3093, 0.7559, 0.1293)
Cu (0.3351, 0.0000, 0.9275)
Cu (0.4354, 0.0000, 0.7015)
Cu (0.6816, 0.5000, 0.4346)
Cu (0.6872, 0.2499, 0.6331)
Cu (0.6872, 0.7501, 0.6331)
Cu (0.6976, 0.0000, 0.8342)
Cu (0.8195, 0.5000, 0.0490)
Cu (0.8304, 0.2456, 0.2583)
Cu (0.8304, 0.7544, 0.2583)
Cu (0.8355, 0.0000, 0.4607)
Cu (0.9363, 0.0000, 0.6877)

Output
size of the total moment: 0.00 μB per cell
volume: 16.78 A^3/atom
mass density: 8.3 Mg/m³
formation energy from the elements: -0.204 eV/atom
crystal system: monoclinic


No. 3
Pr3InCu2 | PBE | relaxed

a b c (Å): 3.6398 3.6398 11.6529
angles (deg): 90.00 90.00 90.00
Sites, in units of the cell vectors:
Pr (0.0000, 0.0000, 0.0000)
Pr (0.0000, 0.0000, 0.3116)
Pr (0.0000, 0.0000, 0.6884)
In (0.5000, 0.5000, 0.5000)
Cu (0.5000, 0.5000, 0.1534)
Cu (0.5000, 0.5000, 0.8466)

Output
size of the total moment: 0.00 μB per cell
volume: 25.73 A^3/atom
mass density: 7.1 Mg/m³
formation energy from the elements: -0.234 eV/atom
crystal system: tetragonal


No. 4
Pr8InCu2 | PBE | relaxed

a b c (Å): 8.3646 8.3646 5.5503
angles (deg): 98.78 98.78 114.70
Sites, in units of the cell vectors:
Pr (0.0750, 0.3185, 0.5776)
Pr (0.2435, 0.7565, 0.0000)
Pr (0.3185, 0.0750, 0.5776)
Pr (0.3939, 0.3939, 0.1924)
Pr (0.6061, 0.6061, 0.8076)
Pr (0.6815, 0.9250, 0.4224)
Pr (0.7565, 0.2435, 0.0000)
Pr (0.9250, 0.6815, 0.4224)
In (0.0000, 0.0000, 0.0000)
Cu (0.3113, 0.6887, 0.5000)
Cu (0.6887, 0.3113, 0.5000)

Output
size of the total moment: 0.00 μB per cell
distance to the lowest polymorph of the same formula: 62 meV per atom
volume: 30.76 A^3/atom
mass density: 6.7 Mg/m³
formation energy from the elements: -0.060 eV/atom
crystal system: monoclinic